V2TeRu2 after structural relaxation. Source: Alexandria, functional PBE.

a b c (Å): 7.405 7.405 2.913
angles (deg): 90.00 90.00 90.00
Space group P4/mbm (No. 127)
Unique sites:
1 V 0.148 0.352 0.000
2 Te 0.000 0.000 0.500
3 Ru 0.137 0.637 0.500

Calculated values
Mass density   8.98 g cm⁻³
Formation energy without anion corrections   4.2 kJ/mol of atoms
DOS at the Fermi energy   0.6606 states/eV/atom
Distance to the lowest polymorph of the same formula   0.0 meV/atom